DFT (PBE-GGA) results for a geometry-optimized HoMnFeGe3 structure.

Lattice parameters (Å, degrees): 5.589 7.475 6.476 125.25 90.00 90.00
Each line ends with the local moment (μB).
Element x y z (fractional)
Ho1 0.750 0.251 0.503  0.04
Ho2 0.250 0.749 0.497  0.04
Mn1 0.250 0.044 0.089  -1.04
Mn2 0.750 0.956 0.911  -1.04
Fe1 0.250 0.463 0.926  1.12
Fe2 0.750 0.537 0.074  1.12
Ge1 0.250 0.254 0.508  0.02
Ge2 0.000 0.250 0.000  0.01
Ge3 0.500 0.750 0.000  0.01
Ge4 0.500 0.250 0.000  0.01
Ge5 0.000 0.750 0.000  0.01
Ge6 0.750 0.746 0.492  0.02

total energy	-73.6	eV/cell
energy of formation from the pure elements	-119	meV per atom
volume	18.412	Å³/atom
SG	Cmcm (63)